(1)
VASP calculation (PBE) on a relaxed CaSmAlPb crystal.

a b c (Å): 7.6297 7.6297 7.6297
angles (deg): 90.00 90.00 90.00
Space group F-43m (No. 216)
Unique sites:
Ca 0.0000 0.0000 0.0000 x4
Sm 0.0000 0.0000 0.5000 x4
Al 0.2500 0.2500 0.7500 x4
Pb 0.2500 0.2500 0.2500 x4

Properties
Calculated formation energy, meV/atom: -326
Final energy, hartree per atom: -0.142

(2)
VASP calculation (PBE) on a relaxed CaAlTe2Pb crystal.

a b c (Å): 5.8531 5.8531 5.8680
angles (deg): 90.00 90.00 90.00
Space group P4/mmm (No. 123)
Unique sites:
Ca 0.0000 0.0000 0.0000 x1
Al 0.5000 0.5000 0.5000 x1
Te 0.0000 0.5000 0.0000 x2
Pb 0.0000 0.0000 0.5000 x1

Properties
Formation energy (no corrections), kcal/mol of atoms: 6.8
Final energy, hartree per atom: -0.105

(3)
VASP calculation (PBE) on a relaxed CaAlPbW2 crystal.

a b c (Å): 4.7945 4.7945 5.3913
angles (deg): 90.00 90.00 90.00
Space group P4/mmm (No. 123)
Unique sites:
Ca 0.0000 0.0000 0.0000 x1
Al 0.5000 0.5000 0.5000 x1
Pb 0.0000 0.0000 0.5000 x1
W 0.0000 0.5000 0.0000 x2

Properties
Calculated formation energy, meV/atom: 2707
Final energy, hartree per atom: -0.160

(4)
VASP calculation (PBE) on a relaxed Ca2AlPbW crystal.

a b c (Å): 5.4949 5.4949 5.0327
angles (deg): 90.00 90.00 90.00
Space group P4/mmm (No. 123)
Unique sites:
Ca 0.0000 0.5000 0.0000 x2
Al 0.0000 0.0000 0.5000 x1
Pb 0.5000 0.5000 0.5000 x1
W 0.0000 0.0000 0.0000 x1

Properties
Calculated formation energy, meV/atom: 797
Final energy, hartree per atom: -0.150

(5)
VASP calculation (PBE) on a relaxed Ca2Al12Pd crystal.

a b c (Å): 6.0100 6.0100 16.5249
angles (deg): 90.00 90.00 90.00
Space group P4/nbm (No. 125, origin choice 2)
Unique sites:
Ca 0.2500 0.7500 0.2491 x4
Al 0.0000 0.0000 0.0867 x8
Al 0.0781 0.5781 0.4316 x8
Al 0.2500 0.2500 0.1851 x4
Al 0.2500 0.2500 0.3404 x4
Pd 0.2500 0.7500 0.0000 x2

Properties
Calculated formation energy, meV/atom: -251
Final energy, hartree per atom: -0.142

(6)
VASP calculation (PBE) on a relaxed CaAl10Pd3 crystal.

a b c (Å): 12.8298 12.8298 12.8298
angles (deg): 90.00 90.00 90.00
Space group Fm-3m (No. 225)
Unique sites:
Ca 0.2500 0.2500 0.2500 x8
Al 0.0000 0.1739 0.1739 x48
Al 0.1112 0.1112 0.3888 x32
Pd 0.0000 0.0000 0.2638 x24

Properties
Calculated formation energy, meV/atom: -342
Final energy, hartree per atom: -0.157

(7)
VASP calculation (PBE) on a relaxed CaAl2Pd crystal.

a b c (Å): 6.6089 6.6089 6.6089
angles (deg): 90.00 90.00 90.00
Space group Fm-3m (No. 225)
Unique sites:
Ca 0.0000 0.0000 0.0000 x4
Al 0.2500 0.2500 0.2500 x8
Pd 0.0000 0.0000 0.5000 x4

Properties
Calculated formation energy, meV/atom: -391
Final energy, hartree per atom: -0.149

(8)
VASP calculation (PBE) on a relaxed CaAlPd2 crystal.

a b c (Å): 4.3780 4.3780 14.5948
angles (deg): 90.00 90.00 120.00
Space group R-3m (No. 166, hexagonal axes)
Unique sites:
Ca 0.0000 0.0000 0.0000 x3
Al 0.0000 0.0000 0.5000 x3
Pd 0.0000 0.0000 0.2068 x6

Properties
Calculated formation energy, meV/atom: -759
Final energy, hartree per atom: -0.176

(9)
VASP calculation (PBE) on a relaxed CaAl11Pd crystal.

a b c (Å): 5.2057 12.8042 7.2829
angles (deg): 90.00 108.43 90.00
Space group C2/m (No. 12)
Unique sites:
Ca 0.0000 0.0000 0.0000 x2
Al 0.0000 0.0000 0.5000 x2
Al 0.1100 0.3911 0.2252 x8
Al 0.1726 0.1769 0.3561 x8
Al 0.2500 0.2500 0.0000 x4
Pd 0.0000 0.5000 0.5000 x2

Properties
Calculated formation energy, meV/atom: -200
Final energy, hartree per atom: -0.144

(10)
VASP calculation (PBE) on a relaxed Ca2Al7Pd crystal.

a b c (Å): 4.2094 4.2094 11.4861
angles (deg): 90.00 90.00 90.00
Space group P-4m2 (No. 115)
Unique sites:
Ca 0.0000 0.5000 0.2437 x2
Al 0.0000 0.0000 0.0000 x1
Al 0.0000 0.0000 0.5000 x1
Al 0.0000 0.5000 0.6426 x2
Al 0.0000 0.5000 0.8682 x2
Al 0.5000 0.5000 0.5000 x1
Pd 0.5000 0.5000 0.0000 x1

Properties
Calculated formation energy, meV/atom: -353
Final energy, hartree per atom: -0.143

(11)
VASP calculation (PBE) on a relaxed CaAl4Pd2 crystal.

a b c (Å): 7.7286 7.7286 4.2104
angles (deg): 90.00 90.00 90.00
Space group P4_2/mnm (No. 136)
Unique sites:
Ca 0.0000 0.0000 0.0000 x2
Al 0.0862 0.3385 0.5000 x8
Pd 0.2245 0.7755 0.5000 x4

Properties
Offset from the most stable computed form, meV per atom: 4
Calculated formation energy, meV/atom: -640
Final energy, hartree per atom: -0.167

(12)
VASP calculation (PBE) on a relaxed Ca3Al2Pd4 crystal.

a b c (Å): 10.6969 4.2025 8.7518
angles (deg): 90.00 99.25 90.00
Space group C2/m (No. 12)
Unique sites:
Ca 0.0000 0.0000 0.0000 x2
Ca 0.1216 0.5000 0.3854 x4
Al 0.1789 0.5000 0.7859 x4
Pd 0.0931 0.0000 0.6376 x4
Pd 0.2214 0.5000 0.0898 x4

Properties
Calculated formation energy, meV/atom: -765
Final energy, hartree per atom: -0.168

(13)
VASP calculation (PBE) on a relaxed CaAlPd4 crystal.

a b c (Å): 7.9422 3.8279 7.0045
angles (deg): 90.00 90.00 90.00
Space group Pmma (No. 51)
Unique sites:
Ca 0.2500 0.0000 0.1417 x2
Al 0.2500 0.0000 0.7059 x2
Pd 0.0000 0.0000 0.5000 x2
Pd 0.0609 0.5000 0.8105 x4
Pd 0.2500 0.5000 0.4564 x2

Properties
Calculated formation energy, meV/atom: -645
Final energy, hartree per atom: -0.186

(14)
VASP calculation (PBE) on a relaxed CaAl6Pd2 crystal.

a b c (Å): 10.9165 8.0377 4.2795
angles (deg): 90.00 112.90 90.00
Space group C2/m (No. 12)
Unique sites:
Ca 0.0000 0.0000 0.0000 x2
Al 0.0000 0.3130 0.5000 x4
Al 0.1926 0.3236 0.1925 x8
Pd 0.2080 0.5000 0.7076 x4

Properties
Calculated formation energy, meV/atom: -399
Final energy, hartree per atom: -0.157

(15)
VASP calculation (PBE) on a relaxed CaAl4Pd2 crystal.

a b c (Å): 17.2385 4.3494 6.6561
angles (deg): 90.00 90.00 90.00
Space group Pnma (No. 62)
Unique sites:
Ca 0.1395 0.2500 0.0189 x4
Al 0.0357 0.7500 0.8360 x4
Al 0.0710 0.2500 0.4905 x4
Al 0.1864 0.7500 0.3271 x4
Al 0.1919 0.7500 0.7290 x4
Pd 0.0374 0.7500 0.2469 x4
Pd 0.2170 0.2500 0.5308 x4

Properties
Offset from the most stable computed form, meV per atom: 0
Calculated formation energy, meV/atom: -644
Final energy, hartree per atom: -0.167

(16)
VASP calculation (PBE) on a relaxed CaAlPd5 crystal.

a b c (Å): 4.1093 4.1093 7.1447
angles (deg): 90.00 90.00 90.00
Space group P4/mmm (No. 123)
Unique sites:
Ca 0.0000 0.0000 0.0000 x1
Al 0.5000 0.5000 0.5000 x1
Pd 0.0000 0.5000 0.2959 x4
Pd 0.5000 0.5000 0.0000 x1

Properties
Calculated formation energy, meV/atom: -550
Final energy, hartree per atom: -0.187

(17)
VASP calculation (PBE) on a relaxed CaAlPd3 crystal.

a b c (Å): 10.0118 5.7999 7.7655
angles (deg): 90.00 124.99 90.00
Space group Cm (No. 8)
Unique sites:
Ca 0.0000 0.0000 0.0000 x2
Ca 0.0929 0.0000 0.5652 x2
Al 0.4132 0.0000 0.2781 x2
Al 0.4654 0.0000 0.6894 x2
Pd 0.0027 0.5000 0.0317 x2
Pd 0.1798 0.5000 0.6170 x2
Pd 0.2310 0.2630 0.9757 x4
Pd 0.2649 0.2579 0.3848 x4

Properties
Offset from the most stable computed form, meV per atom: 0
Calculated formation energy, meV/atom: -716
Final energy, hartree per atom: -0.183

(18)
VASP calculation (PBE) on a relaxed Ca2Al12Pd7 crystal.

a b c (Å): 9.9780 9.9780 4.1800
angles (deg): 90.00 90.00 120.00
Space group P-6 (No. 174)
Unique sites:
Ca 0.0000 0.0000 0.0000 x1
Ca 0.3333 0.6667 0.5000 x1
Al 0.0159 0.7334 0.5000 x3
Al 0.1561 0.3896 0.0000 x3
Al 0.3744 0.1714 0.0000 x3
Al 0.5448 0.1329 0.5000 x3
Pd 0.0176 0.5567 0.0000 x3
Pd 0.2467 0.0067 0.5000 x3
Pd 0.6667 0.3333 0.0000 x1

Properties
Calculated formation energy, meV/atom: -726
Final energy, hartree per atom: -0.176

(19)
VASP calculation (PBE) on a relaxed CaAl6Pd3 crystal.

a b c (Å): 6.9356 6.7194 8.4575
angles (deg): 90.00 118.68 90.00
Space group P2_1/c (No. 14)
Unique sites:
Ca 0.0000 0.0000 0.0000 x2
Al 0.1406 0.0291 0.6796 x4
Al 0.2833 0.6800 0.8763 x4
Al 0.4565 0.1829 0.2604 x4
Pd 0.2117 0.1704 0.4160 x4
Pd 0.5000 0.0000 0.0000 x2

Properties
Calculated formation energy, meV/atom: -590
Final energy, hartree per atom: -0.169

(20)
VASP calculation (PBE) on a relaxed Ca8AlPd2 crystal.

a b c (Å): 9.1546 13.5409 5.7348
angles (deg): 90.00 104.53 90.00
Space group Cm (No. 8)
Unique sites:
Ca 0.0000 0.0000 0.0000 x2
Ca 0.0691 0.3696 0.7752 x4
Ca 0.1794 0.1303 0.6108 x4
Ca 0.2479 0.5000 0.3853 x2
Ca 0.3744 0.2401 0.1928 x4
Al 0.3741 0.0000 0.1906 x2
Pd 0.3742 0.3159 0.6928 x4

Properties
Calculated formation energy, meV/atom: -308
Final energy, hartree per atom: -0.112